Entry 1:
Ag2TeSe PBE-GGA optimized geometry; uncorrected formation energy = 0.121 eV/atom; distance to the lowest polymorph of the same formula = 130.1 meV per atom; symmetry = No. 44
1.0
-1.812 2.084 6.160
1.812 -2.084 6.160
1.812 2.084 -6.160
Ag Te Se
2 1 1
direct
0.000 0.000 0.000
0.664 0.164 0.500
0.415 0.415 0.000
0.211 0.711 0.500



Entry 2:
Ag6TeSe2 PBE-GGA optimized geometry; uncorrected formation energy = -0.031 eV/atom; symmetry = No. 15
1.0
6.477 -4.059 0.000
6.477 4.059 0.000
-4.811 0.000 7.737
Ag Te Se
12 2 4
direct
0.102 0.268 0.284
0.108 0.741 0.506
0.259 0.892 0.994
0.268 0.102 0.784
0.348 0.493 0.049
0.493 0.348 0.549
0.507 0.652 0.451
0.652 0.507 0.951
0.732 0.898 0.216
0.741 0.108 0.006
0.892 0.259 0.494
0.898 0.732 0.716
0.127 0.873 0.250
0.873 0.127 0.750
0.232 0.422 0.707
0.422 0.232 0.207
0.578 0.768 0.793
0.768 0.578 0.293



Entry 3:
AgTeSe2 PBE-GGA optimized geometry; uncorrected formation energy = 0.298 eV/atom; symmetry = No. 35
1.0
1.980 -2.153 0.000
1.980 2.153 0.000
0.000 0.000 12.116
Ag Te Se
1 1 2
direct
0.000 0.000 0.000
0.500 0.500 0.785
0.000 0.000 0.492
0.500 0.500 0.177



Entry 4:
Ag2TeSe PBE-GGA optimized geometry; uncorrected formation energy = 0.033 eV/atom; distance to the lowest polymorph of the same formula = 42.5 meV per atom; symmetry = No. 6
1.0
3.061 0.000 0.000
0.000 4.533 0.000
-1.462 0.000 7.065
Ag Te Se
2 1 1
direct
0.000 0.000 0.000
0.425 0.500 0.841
0.313 0.000 0.599
0.096 0.500 0.196



Entry 5:
AgTeSe2 PBE-GGA optimized geometry; uncorrected formation energy = 0.445 eV/atom; symmetry = No. 216
1.0
0.000 3.544 3.544
3.544 0.000 3.544
3.544 3.544 0.000
Ag Te Se
1 1 2
direct
0.000 0.000 0.000
0.250 0.250 0.250
0.500 0.500 0.500
0.750 0.750 0.750



Entry 6:
AgTeSe2 PBE-GGA optimized geometry; uncorrected formation energy = 0.110 eV/atom; symmetry = No. 160
1.0
2.011 1.161 7.067
-2.011 1.161 7.067
0.000 -2.322 7.067
Ag Te Se
1 1 2
direct
0.000 0.000 0.000
0.169 0.169 0.169
0.586 0.586 0.586
0.747 0.747 0.747



Entry 7:
Ag2Te2Se3 PBE-GGA optimized geometry; uncorrected formation energy = 0.028 eV/atom; symmetry = No. 2
1.0
3.881 0.000 0.000
1.766 6.097 0.000
0.163 2.490 7.878
Ag Te Se
2 2 3
direct
0.130 0.275 0.332
0.870 0.725 0.668
0.401 0.698 0.193
0.599 0.302 0.807
0.000 0.500 0.000
0.197 0.089 0.659
0.803 0.911 0.341



Entry 8:
Ag2TeSe PBE-GGA optimized geometry; uncorrected formation energy = 0.145 eV/atom; distance to the lowest polymorph of the same formula = 153.8 meV per atom; symmetry = No. 35
1.0
1.958 -2.314 0.000
1.958 2.314 0.000
0.000 0.000 10.292
Ag Te Se
2 1 1
direct
0.000 0.000 0.000
0.500 0.500 0.203
0.500 0.500 0.762
0.000 0.000 0.402



Question: Number 5 is which compound?
Answer: AgTeSe2



Question: Which of these has the highest uncorrected formation energy?
Answer: number 5